Entry 1:
Ho6ScIn5: relaxed, PBE.

Cell: 9.2505 9.2505 9.2505 Å, 146.50 132.75 59.16°
Closest atoms and distances in Å follow each position.
Element x y z (fractional)
1 Ho 0.0772 0.3302 0.7470  7 In 3.22-3.36, 1 Sc 3.31
2 Ho 0.2437 0.0000 0.2437  6 In 3.14-3.24, 2 Sc 3.27
3 Ho 0.4167 0.6698 0.7470  7 In 3.22-3.36, 1 Sc 3.31
4 Ho 0.5833 0.3302 0.2530  7 In 3.22-3.36, 1 Sc 3.31
5 Ho 0.7563 0.0000 0.7563  6 In 3.14-3.24, 2 Sc 3.27
6 Ho 0.9228 0.6698 0.2530  7 In 3.22-3.36, 1 Sc 3.31
7 Sc 0.5000 0.5000 0.0000  8 Ho 3.27-3.31, 4 In 3.65
8 In 0.0000 0.5000 0.5000  8 Ho 3.22-3.29
9 In 0.1673 0.1673 0.0000  8 Ho 3.22-3.24
10 In 0.3446 0.8446 0.5000  8 Ho 3.14-3.36
11 In 0.6554 0.1554 0.5000  8 Ho 3.14-3.36
12 In 0.8327 0.8327 0.0000  8 Ho 3.22-3.24

Calculated values
Energy of formation from the pure elements (eV/atom): -0.379

---

Entry 2:
ReAu2Cl: relaxed, PBE.

Cell: 6.8799 6.8799 6.8799 Å, 156.76 143.60 43.64°
Closest atoms and distances in Å follow each position.
Element x y z (fractional)
1 Re 0.0000 0.0000 0.0000  4 Cl 2.56, 2 Re 2.77, 4 Au 2.82
2 Au 0.1924 0.6924 0.5000  6 Au 2.77-2.95, 2 Re 2.82
3 Au 0.8076 0.3076 0.5000  6 Au 2.77-2.95, 2 Re 2.82
4 Cl 0.5000 0.5000 0.0000  4 Re 2.56, 2 Cl 2.77

Calculated values
E_form (uncorrected) (eV per formula unit): 2.67

---

Entry 3:
SiNi2Pd: relaxed, PBE.

Cell: 8.9344 8.9344 8.9344 Å, 157.18 157.18 32.49°
Closest atoms and distances in Å follow each position.
Element x y z (fractional)
1 Si 0.0000 0.0000 0.0000  4 Ni 2.45, 4 Pd 2.50
2 Si 0.7500 0.2500 0.5000  4 Ni 2.45, 4 Pd 2.50
3 Ni 0.1010 0.6250 0.9760  4 Ni 2.38-2.62, 2 Si 2.45, 2 Pd 2.51
4 Ni 0.3750 0.3510 0.4760  4 Ni 2.38-2.62, 2 Si 2.45, 2 Pd 2.51
5 Ni 0.6490 0.1250 0.0240  4 Ni 2.38-2.62, 2 Si 2.45, 2 Pd 2.51
6 Ni 0.8750 0.8990 0.5240  4 Ni 2.38-2.62, 2 Si 2.45, 2 Pd 2.51
7 Pd 0.2500 0.7500 0.5000  4 Si 2.50, 4 Ni 2.51
8 Pd 0.5000 0.5000 0.0000  4 Si 2.50, 4 Ni 2.51

Calculated values
E_form (uncorrected) (eV per formula unit): -0.02